No. 1
# PrHfIn6 PBE relaxed
data_PrHfIn6
_symmetry_space_group_name_H-M 'P 1'
_symmetry_Int_Tables_number 1
_cell_length_a 4.649
_cell_length_b 4.649
_cell_length_c 9.132
_cell_angle_alpha 90.00
_cell_angle_beta 90.00
_cell_angle_gamma 90.00
loop_
_symmetry_equiv_pos_as_xyz
'x,y,z'
loop_
_atom_site_label
_atom_site_type_symbol
_atom_site_fract_x
_atom_site_fract_y
_atom_site_fract_z
Hf1 Hf 0.000 0.000 0.500
In1 In 0.000 0.500 0.264
Pr1 Pr 0.000 0.000 0.000
In2 In 0.500 0.500 0.000
In3 In 0.500 0.000 0.736
In4 In 0.000 0.500 0.736
In5 In 0.500 0.500 0.500
In6 In 0.500 0.000 0.264
# ΔH_f (0 K): -0.2608 eV per atom
# V: 197.4 Å³/f.u.
# Symmetry: P4/mmm (123)
# Magnetic moment: 0.00 μB/f.u.

No. 2
# AcH5Pt PBE relaxed
data_AcH5Pt
_symmetry_space_group_name_H-M 'P 1'
_symmetry_Int_Tables_number 1
_cell_length_a 4.831
_cell_length_b 4.831
_cell_length_c 8.413
_cell_angle_alpha 72.10
_cell_angle_beta 72.10
_cell_angle_gamma 58.86
loop_
_symmetry_equiv_pos_as_xyz
'x,y,z'
loop_
_atom_site_label
_atom_site_type_symbol
_atom_site_fract_x
_atom_site_fract_y
_atom_site_fract_z
H1 H 0.188 0.216 0.460
H2 H 0.284 0.312 0.040
Ac1 Ac 0.500 0.500 0.500
H3 H 0.554 0.526 0.798
H4 H 0.812 0.784 0.540
H5 H 0.026 0.054 0.298
H6 H 0.716 0.688 0.960
Pt1 Pt 0.742 0.758 0.750
H7 H 0.446 0.474 0.202
H8 H 0.367 0.133 0.750
H9 H 0.974 0.946 0.702
Ac2 Ac 0.000 0.000 0.000
Pt2 Pt 0.258 0.242 0.250
H10 H 0.633 0.867 0.250
# V: 78.6 Å³/f.u.
# Symmetry: C2/c (15)
# Magnetic moment: 0.00 μB/f.u.
# Final energy: -0.159 Ha/atom

No. 3
# AcSmDy2 PBE relaxed
data_AcSmDy2
_symmetry_space_group_name_H-M 'P 1'
_symmetry_Int_Tables_number 1
_cell_length_a 3.718
_cell_length_b 3.718
_cell_length_c 10.177
_cell_angle_alpha 90.00
_cell_angle_beta 90.00
_cell_angle_gamma 90.00
loop_
_symmetry_equiv_pos_as_xyz
'x,y,z'
loop_
_atom_site_label
_atom_site_type_symbol
_atom_site_fract_x
_atom_site_fract_y
_atom_site_fract_z
Dy1 Dy 0.000 0.000 0.762
Sm1 Sm 0.500 0.500 0.000
Dy2 Dy 0.000 0.000 0.238
Ac1 Ac 0.500 0.500 0.500
# ΔH_f (0 K): 0.0524 eV per atom
# V: 140.7 Å³/f.u.
# Symmetry: P4/mmm (123)
# Magnetic moment: 0.00 μB/f.u.
# Offset from the most stable computed form: 1.6 kJ/mol of formula units

No. 4
# La4ErGa5 PBE relaxed
data_La4ErGa5
_symmetry_space_group_name_H-M 'P 1'
_symmetry_Int_Tables_number 1
_cell_length_a 3.706
_cell_length_b 3.706
_cell_length_c 18.833
_cell_angle_alpha 90.00
_cell_angle_beta 90.00
_cell_angle_gamma 90.00
loop_
_symmetry_equiv_pos_as_xyz
'x,y,z'
loop_
_atom_site_label
_atom_site_type_symbol
_atom_site_fract_x
_atom_site_fract_y
_atom_site_fract_z
Ga1 Ga 0.500 0.500 0.706
La1 La 0.000 0.000 0.603
Ga2 Ga 0.500 0.500 0.085
La2 La 0.000 0.000 0.397
Er1 Er 0.000 0.000 0.000
Ga3 Ga 0.500 0.500 0.294
Ga4 Ga 0.500 0.500 0.915
La3 La 0.000 0.000 0.192
Ga5 Ga 0.500 0.500 0.500
La4 La 0.000 0.000 0.808
# ΔH_f (0 K): -0.5725 eV per atom
# V: 258.6 Å³/f.u.
# Symmetry: P4/mmm (123)
# Magnetic moment: 0.00 μB/f.u.

Q: Which value of magnetic moment does entry 1 give?
A: 0.00 μB/f.u.

Q: Among the records above, which one has the highest V?
A: La4ErGa5

Q: Which value of V does entry 4 give?
A: 258.6 Å³/f.u.